Entry 1:
This record from Alexandria via LeMat-Bulk describes HfGaCoPd after structural relaxation. The functional is PBE-GGA.

```
4
Lattice="4.050 0.000 0.000 0.000 4.051 0.000 -2.025 -2.025 3.673" Properties=species:S:1:pos:R:3 pbc="T T T"
Pd 0.000 0.000 3.673
Hf 0.000 2.025 1.837
Ga 2.025 0.000 1.837
Co 0.000 0.000 0.000
```

Summary:
Energy above the lowest structure with this stoichiometry ... 0.000 eV/atom
E_tot ... -6.864 eV per atom
Space group ... No. 119
Theoretical density ... 11.39 g/cm3
ΔH_f (0 K) ... -0.544 eV per atom
Total moment ... 0.0 μB/f.u.
Fermi-level density of states ... 0.748 states/eV/f.u.

***

Entry 2:
This record from Alexandria via LeMat-Bulk describes HfGaCoPd after structural relaxation. The functional is PBE-GGA.

```
4
Lattice="4.411 0.000 0.000 2.205 3.820 0.000 2.205 1.273 3.601" Properties=species:S:1:pos:R:3 pbc="T T T"
Co 0.000 0.000 0.000
Hf 6.616 3.820 2.701
Pd 4.411 2.547 1.801
Ga 2.205 1.273 0.900
```

Summary:
Energy above the lowest structure with this stoichiometry ... 0.008 eV/atom
E_tot ... -6.855 eV per atom
Space group ... No. 216
Theoretical density ... 11.32 g/cm3
ΔH_f (0 K) ... -0.536 eV per atom
Total moment ... 0.0 μB/f.u.
Fermi-level density of states ... 3.151 states/eV/f.u.

***

Entry 3:
This record from Alexandria via LeMat-Bulk describes Hf2GaCoPt after structural relaxation. The functional is PBE-GGA.

```
5
Lattice="-3.842 2.354 0.946 -1.439 -0.567 -4.436 -2.109 -3.918 1.185" Properties=species:S:1:pos:R:3 pbc="T T T"
Hf -1.921 1.177 0.473
Hf -1.054 -1.959 0.592
Pt -0.720 -0.283 -2.218
Co 0.000 0.000 0.000
Ga -3.695 -1.065 -1.153
```

Summary:
E_tot ... -7.107 eV per atom
Space group ... No. 123
Theoretical density ... 11.35 g/cm3
ΔH_f (0 K) ... 0.109 eV per atom
Total moment ... 0.0 μB/f.u.
Fermi-level density of states ... 5.643 states/eV/f.u.